# 1
The following is a PBE-GGA calculation of a relaxed structure of NaLiErPb, from Alexandria via LeMat-Bulk.

abc: 5.2464 5.2464 5.2464
angles: 60.00 60.00 60.00
With the nearest neighbours (Å) after each atom.
Atoms (fractional coordinates):
Pb 0.5000 0.5000 0.5000  4 Er 3.21, 4 Na 3.21
Er 0.7500 0.7500 0.7500  4 Li 3.21, 4 Pb 3.21
Li 0.0000 0.0000 0.0000  4 Na 3.21, 4 Er 3.21
Na 0.2500 0.2500 0.2500  4 Pb 3.21, 4 Li 3.21

Formation energy: -0.150 eV/atom
DFT total energy: -3.03 eV per atom
DOS at the Fermi energy: 2.94 states/eV per cell

---

# 2
The following is a PBE-GGA calculation of a relaxed structure of ZrBeZnNi2, from Alexandria via LeMat-Bulk.

abc: 4.6226 4.6662 4.6226
angles: 90.00 90.00 90.00
With the nearest neighbours (Å) after each atom.
Atoms (fractional coordinates):
Zr 0.0000 0.0000 0.0000  4 Ni 2.31, 2 Be 2.33
Ni 0.5000 0.0000 0.0000  2 Zr 2.31
Zn 0.5000 0.5000 0.5000  4 Be 3.27, 8 Ni 3.28
Be 0.0000 0.5000 0.0000  2 Zr 2.33
Ni 0.0000 0.0000 0.5000  2 Zr 2.31

Formation energy: 1.368 eV/atom
DFT total energy: -3.65 eV per atom
DOS at the Fermi energy: 3.42 states/eV per cell

---

# 3
The following is a PBE-GGA calculation of a relaxed structure of Pm2Ho2Zn, from Alexandria via LeMat-Bulk.

abc: 8.2856 6.2892 8.7854
angles: 69.11 57.23 48.80
With the nearest neighbours (Å) after each atom.
Atoms (fractional coordinates):
Pm 0.6019 0.0000 0.1238  2 Zn 3.18, 4 Ho 3.35-3.39, 3 Pm 3.37-3.49
Zn 0.1462 0.7075 0.0000  1 Zn 2.77, 2 Ho 2.95
Pm 0.2502 0.0000 0.5864  2 Zn 3.36, 3 Pm 3.37-3.55, 6 Ho 3.42-3.72
Ho 0.3495 0.6241 0.2669  2 Zn 2.95-3.29
Ho 0.0264 0.6241 0.7331  2 Zn 2.95-3.29
Zn 0.8538 0.2925 0.0000  1 Zn 2.77, 2 Ho 2.95
Pm 0.3981 0.0000 0.8762  2 Zn 3.18, 4 Ho 3.35-3.39, 3 Pm 3.37-3.49
Ho 0.6505 0.3759 0.7331  2 Zn 2.95-3.29
Ho 0.9736 0.3759 0.2669  2 Zn 2.95-3.29
Pm 0.7498 0.0000 0.4136  2 Zn 3.36, 3 Pm 3.37-3.55, 6 Ho 3.42-3.72

Energy above the lowest structure with this stoichiometry: 0.0995 eV/atom
Formation energy: -0.029 eV/atom
DFT total energy: -4.02 eV per atom
DOS at the Fermi energy: 10.27 states/eV per cell

---

# 4
The following is a PBE-GGA calculation of a relaxed structure of ZnBr, from Alexandria via LeMat-Bulk.

abc: 16.1021 3.7644 6.2237
angles: 90.00 90.00 90.00
With the nearest neighbours (Å) after each atom.
Atoms (fractional coordinates):
Br 0.6786 0.0000 0.1552  2 Zn 2.50
Zn 0.5000 0.0000 0.8756  4 Zn 2.79, 2 Br 2.83
Br 0.0000 0.0000 0.0366  4 Zn 2.76-2.83
Br 0.8214 0.5000 0.6552  2 Zn 2.50
Br 0.1785 0.5000 0.6552  2 Zn 2.50
Zn 0.5766 0.5000 0.1397  1 Zn 2.47, 3 Br 2.50-2.76
Zn 0.0766 0.0000 0.6397  1 Zn 2.47, 3 Br 2.50-2.76
Zn 0.9234 0.0000 0.6397  1 Zn 2.47, 3 Br 2.50-2.76
Zn 0.0000 0.5000 0.3756  4 Zn 2.79, 2 Br 2.83
Br 0.5000 0.5000 0.5366  4 Zn 2.76-2.83
Zn 0.4234 0.5000 0.1397  1 Zn 2.47, 3 Br 2.50-2.76
Br 0.3214 0.0000 0.1552  2 Zn 2.50

DFT total energy: -1.91 eV per atom
DOS at the Fermi energy: 2.92 states/eV per cell
Formation energy from raw total energies: -0.435 eV/atom

---

# 5
The following is a PBE-GGA calculation of a relaxed structure of NbNCl6, from Alexandria via LeMat-Bulk.

abc: 6.5826 6.5826 12.9231
angles: 106.13 106.13 82.10
With the nearest neighbours (Å) after each atom.
Atoms (fractional coordinates):
Nb 0.5000 0.0000 0.5000  6 Cl 2.34-2.58
Cl 0.5721 0.1247 0.3621  1 Nb 2.34
Cl 0.2808 0.7008 0.3572  1 N 1.74
Cl 0.7192 0.2992 0.6428  1 N 1.74
Cl 0.2263 0.1928 0.9947  1 Nb 2.34
Cl 0.7737 0.8072 0.0053  1 Nb 2.34
N 0.5929 0.4071 0.7500  2 Cl 1.74
Nb 0.0000 0.5000 0.0000  6 Cl 2.34-2.58
Cl 0.1928 0.2263 0.4947  1 Nb 2.34
N 0.4071 0.5929 0.2500  2 Cl 1.74
Cl 0.8072 0.7737 0.5053  1 Nb 2.34
Cl 0.8753 0.4279 0.1379  1 Nb 2.34
Cl 0.1247 0.5721 0.8621  1 Nb 2.34
Cl 0.2992 0.7192 0.1428  1 N 1.74
Cl 0.7008 0.2808 0.8572  1 N 1.74
Cl 0.4279 0.8753 0.6379  1 Nb 2.34

Energy above the lowest structure with this stoichiometry: 0.0000 eV/atom
DFT total energy: -4.11 eV per atom
DOS at the Fermi energy: 3.92 states/eV per cell
Formation energy from raw total energies: -0.421 eV/atom

---

# 6
The following is a PBE-GGA calculation of a relaxed structure of ScMo2Ir, from Alexandria via LeMat-Bulk.

abc: 9.5254 9.5254 9.5254
angles: 17.32 17.32 17.32
With the nearest neighbours (Å) after each atom.
Atoms (fractional coordinates):
Ir 0.2500 0.2500 0.2500  6 Mo 2.75, 6 Ir 2.87
Sc 0.7500 0.7500 0.7500  6 Sc 2.87, 6 Mo 3.00
Mo 0.9946 0.9946 0.9946  3 Ir 2.75, 6 Mo 2.87, 3 Sc 3.00
Mo 0.5054 0.5054 0.5054  3 Ir 2.75, 6 Mo 2.87, 3 Sc 3.00

Energy above the lowest structure with this stoichiometry: 0.4291 eV/atom
Formation energy: 0.167 eV/atom
DFT total energy: -9.05 eV per atom
DOS at the Fermi energy: 3.04 states/eV per cell

---

# 7
The following is a PBE-GGA calculation of a relaxed structure of Na17Cd11Bi, from Alexandria via LeMat-Bulk.

abc: 10.0723 10.0723 10.3101
angles: 109.57 109.57 108.70
With the nearest neighbours (Å) after each atom.
Atoms (fractional coordinates):
Na 0.3120 0.5938 0.9980  4 Cd 3.28-3.55, 7 Na 3.33-3.62, 1 Bi 3.42
Cd 0.1805 0.8181 0.1819  3 Cd 3.00-3.06, 2 Na 3.34
Cd 0.8079 0.9943 0.6304  3 Cd 2.94-3.05, 1 Na 3.29
Cd 0.6446 0.0017 0.8193  3 Cd 2.94-3.07
Na 0.3171 0.9981 0.5885  5 Cd 3.34-3.49, 7 Na 3.34-3.62
Cd 0.3652 0.1796 0.3760  2 Cd 3.00-3.04, 1 Bi 3.26, 3 Na 3.29-3.35
Bi 0.3636 0.3636 0.1694  3 Cd 3.12-3.26, 7 Na 3.29-3.42
Na 0.0046 0.0046 0.0034  11 Cd 3.47-3.64, 4 Na 3.48-3.60, 1 Bi 3.52
Na 0.2837 0.6931 0.6902  5 Cd 3.29-3.49, 7 Na 3.33-3.61
Na 0.9981 0.3171 0.5885  5 Cd 3.34-3.49, 7 Na 3.34-3.62
Na 0.0014 0.5919 0.3154  5 Cd 3.29-3.47, 7 Na 3.32-3.59
Cd 0.8181 0.1805 0.1819  3 Cd 3.00-3.06, 2 Na 3.34
Cd 0.8163 0.6350 0.0019  3 Cd 2.97-3.07, 1 Na 3.28
Na 0.3496 0.0020 0.0037  4 Na 3.32-3.48, 1 Bi 3.40, 5 Cd 3.42-3.57
Cd 0.0017 0.6446 0.8193  3 Cd 2.94-3.07
Na 0.4076 0.7156 0.4044  7 Na 3.34-3.62, 4 Cd 3.34-3.58, 1 Bi 3.34
Na 0.6931 0.2837 0.6902  5 Cd 3.29-3.49, 7 Na 3.33-3.61
Na 0.6879 0.6879 0.2781  7 Na 3.28-3.53, 1 Bi 3.29, 4 Cd 3.37-3.46
Cd 0.1796 0.3652 0.3760  2 Cd 3.00-3.04, 1 Bi 3.26, 3 Na 3.29-3.35
Na 0.9978 0.9978 0.3479  4 Na 3.28-3.60, 6 Cd 3.42-3.47
Na 0.6545 0.6545 0.6586  4 Na 3.31-3.57, 6 Cd 3.38-3.47
Cd 0.1727 0.1727 0.7993  2 Cd 3.02, 1 Bi 3.12, 3 Na 3.29-3.34
Na 0.7156 0.4076 0.4044  7 Na 3.34-3.62, 4 Cd 3.34-3.58, 1 Bi 3.34
Na 0.5919 0.0014 0.3154  5 Cd 3.29-3.47, 7 Na 3.32-3.59
Cd 0.9943 0.8079 0.6304  3 Cd 2.94-3.05, 1 Na 3.29
Na 0.0020 0.3496 0.0037  4 Na 3.32-3.48, 1 Bi 3.40, 5 Cd 3.42-3.57
Na 0.4098 0.4098 0.7240  5 Cd 3.29-3.46, 7 Na 3.31-3.58
Cd 0.6350 0.8163 0.0019  3 Cd 2.97-3.07, 1 Na 3.28
Na 0.5938 0.3120 0.9980  4 Cd 3.28-3.55, 7 Na 3.33-3.62, 1 Bi 3.42

Formation energy: -0.102 eV/atom
DFT total energy: -1.36 eV per atom
DOS at the Fermi energy: 12.87 states/eV per cell

---

# 8
The following is a PBE-GGA calculation of a relaxed structure of Tm2NiN, from Alexandria via LeMat-Bulk.

abc: 3.4291 3.4291 6.9008
angles: 75.61 75.61 60.00
With the nearest neighbours (Å) after each atom.
Atoms (fractional coordinates):
Ni 0.5000 0.5000 0.5000  6 Tm 2.77
Tm 0.2641 0.2641 0.2077  3 N 2.41
N 0.0000 0.0000 0.0000  6 Tm 2.41
Tm 0.7359 0.7359 0.7923  3 N 2.41

DFT total energy: -6.64 eV per atom
DOS at the Fermi energy: 2.37 states/eV per cell
Formation energy from raw total energies: -0.879 eV/atom